DFT (GGA-PBE) results for an optimized crystal structure of TaBe2Cl.

Output
volume = 14.19 Å³ per atom
electronic total energy = -4.670 eV per atom
relative energy among the computed polymorphs = 0.478 eV per atom
formation energy without anion corrections = 0.618 eV per atom
magnetization = 0.000 μB per atom

Structure (extended XYZ):
```
4
Lattice="4.415 0.000 0.000 0.000 4.415 0.000 0.000 0.000 2.911" Properties=species:S:1:pos:R:3 pbc="T T T"
Ta 0.000 0.000 0.000
Be 0.000 2.207 1.456
Be 2.207 0.000 1.456
Cl 2.207 2.207 0.000
```